CoSbOsPt after structural relaxation, computed with GGA-PBE.

```
data_CoSbOsPt
_cell_length_a 4.446
_cell_length_b 4.446
_cell_length_c 4.446
_cell_angle_alpha 60.00
_cell_angle_beta 60.00
_cell_angle_gamma 60.00
_symmetry_space_group_name_H-M 'P 1'
_symmetry_Int_Tables_number 1
_symmetry_space_group_name_Hall 'P 1'
loop_
_atom_site_label
_atom_site_fract_x
_atom_site_fract_y
_atom_site_fract_z
_atom_site_occupancy
Co1 0.750 0.750 0.750 1
Os1 0.250 0.250 0.250 1
Pt1 0.500 0.500 0.500 1
Sb1 0.000 0.000 0.000 1
```

Computed properties:
- crystal system = cubic
- energy above the lowest structure with this stoichiometry (meV/atom) = 0.0
- VASP energy (eV per atom) = -6.8110

---

Tl3ReS4 after structural relaxation, computed with GGA-PBE.

```
data_Tl3ReS4
_cell_length_a 6.359
_cell_length_b 6.451
_cell_length_c 11.907
_cell_angle_alpha 95.46
_cell_angle_beta 99.14
_cell_angle_gamma 104.98
_symmetry_space_group_name_H-M 'P 1'
_symmetry_Int_Tables_number 1
_symmetry_space_group_name_Hall 'P 1'
loop_
_atom_site_label
_atom_site_fract_x
_atom_site_fract_y
_atom_site_fract_z
_atom_site_occupancy
Re1 0.706 0.220 0.244 1
Re2 0.833 0.274 0.735 1
S1 0.523 0.060 0.068 1
S2 0.707 0.565 0.259 1
S3 0.054 0.206 0.260 1
S4 0.554 0.054 0.379 1
S5 0.983 0.439 0.599 1
S6 0.484 0.288 0.720 1
S7 0.831 0.929 0.720 1
S8 0.017 0.436 0.911 1
Tl1 0.977 0.006 0.003 1
Tl2 0.233 0.685 0.203 1
Tl3 0.014 0.981 0.480 1
Tl4 0.511 0.500 0.497 1
Tl5 0.306 0.809 0.775 1
Tl6 0.564 0.490 0.976 1
```

Computed properties:
- crystal system = triclinic
- VASP energy (eV per atom) = -4.7779